1.
FeRuPt2F: single point on PBEsol structure, meta-GGA SCAN.

a = 4.652 Å, b = 4.652 Å, c = 4.622 Å
α = 90.00°, β = 90.00°, γ = 90.00°
Fractional positions:
1 Fe 0.000 0.000 0.000
2 Ru 0.000 0.000 0.500
3 Pt 0.000 0.500 0.500
4 Pt 0.500 0.000 0.500
5 F 0.500 0.500 0.000

Summary:
V ... 100 Å³ per cell
Uncorrected formation energy ... 1.15 eV per atom
Final energy ... -38.229 eV per atom
Space-group type ... P4/mmm, No. 123

2.
Li2ZnTc: single point on PBEsol structure, meta-GGA SCAN.

a = 2.513 Å, b = 2.513 Å, c = 8.946 Å
α = 90.00°, β = 90.00°, γ = 104.64°
Fractional positions:
1 Li 0.000 0.000 0.248
2 Li 0.000 0.000 0.752
3 Zn 0.500 0.500 0.500
4 Tc 0.500 0.500 0.000

Summary:
Formation energy from the elements ... 0.03 eV/atom
V ... 55 Å³ per cell
Final energy ... -13.306 eV per atom
Space-group type ... Cmmm, No. 65

3.
CuBi3Te: single point on PBEsol structure, meta-GGA SCAN.

a = 5.752 Å, b = 5.752 Å, c = 5.752 Å
α = 90.00°, β = 90.00°, γ = 90.00°
Fractional positions:
1 Cu 0.000 0.000 0.000
2 Bi 0.000 0.500 0.500
3 Bi 0.500 0.000 0.500
4 Bi 0.500 0.500 0.000
5 Te 0.500 0.500 0.500

Summary:
V ... 190 Å³ per cell
Uncorrected formation energy ... 1.27 eV per atom
Final energy ... -56.366 eV per atom
Space-group type ... Pm-3m, No. 221